[1]
The following is a PBE-GGA calculation of an optimized crystal structure of TiMn4In, from Alexandria.

Geometry as CIF:
```
data_TiMn4In
_chemical_formula_sum 'Ti4 Mn16 In4'
_cell_length_a 6.828
_cell_length_b 6.828
_cell_length_c 6.828
_cell_angle_alpha 90.00
_cell_angle_beta 90.00
_cell_angle_gamma 90.00
_space_group_name_H-M_alt 'F -4 3 m'
_space_group_IT_number 216
_space_group_name_Hall 'F -4 2 3'
loop_
_atom_site_label
_atom_site_type_symbol
_atom_site_fract_x
_atom_site_fract_y
_atom_site_fract_z
Ti1 Ti 0.000 0.000 0.000
Mn1 Mn 0.125 0.125 0.625
In1 In 0.250 0.250 0.250
```

## Properties
N(E_F)	6.9	states/eV/f.u.
energy	-7.91	eV per atom

---

[2]
The following is a PBE-GGA calculation of an optimized crystal structure of TiMnIn3, from Alexandria.

Geometry as CIF:
```
data_TiMnIn3
_chemical_formula_sum 'Ti1 Mn1 In3'
_cell_length_a 4.969
_cell_length_b 4.969
_cell_length_c 4.969
_cell_angle_alpha 90.00
_cell_angle_beta 90.00
_cell_angle_gamma 90.00
_space_group_name_H-M_alt 'P m -3 m'
_space_group_IT_number 221
_space_group_name_Hall '-P 4 2 3'
loop_
_atom_site_label
_atom_site_type_symbol
_atom_site_fract_x
_atom_site_fract_y
_atom_site_fract_z
Ti1 Ti 0.000 0.000 0.000
Mn1 Mn 0.500 0.500 0.500
In1 In 0.000 0.500 0.500
```

## Properties
N(E_F)	4.7	states/eV/f.u.
distance to the lowest polymorph of the same formula	0.000	kcal/mol of atoms

---

[3]
The following is a PBE-GGA calculation of an optimized crystal structure of Ti2MnIn, from Alexandria.

Geometry as CIF:
```
data_Ti2MnIn
_chemical_formula_sum 'Ti6 Mn3 In3'
_cell_length_a 3.0304
_cell_length_b 3.0304
_cell_length_c 25.4399
_cell_angle_alpha 90.00
_cell_angle_beta 90.00
_cell_angle_gamma 120.00
_space_group_name_H-M_alt 'R -3 m'
_space_group_IT_number 166
_space_group_name_Hall '-R 3 2"'
loop_
_atom_site_label
_atom_site_type_symbol
_atom_site_fract_x
_atom_site_fract_y
_atom_site_fract_z
Ti1 Ti 0.0000 0.0000 0.2349
Mn1 Mn 0.0000 0.0000 0.5000
In1 In 0.0000 0.0000 0.0000
```

## Properties
N(E_F)	3.3	states/eV/f.u.
energy	-6.94	eV per atom

---

[4]
The following is a PBE-GGA calculation of an optimized crystal structure of Ti2MnIn, from Alexandria.

Geometry as CIF:
```
data_Ti2MnIn
_chemical_formula_sum 'Ti8 Mn4 In4'
_cell_length_a 6.469
_cell_length_b 6.469
_cell_length_c 6.469
_cell_angle_alpha 90.00
_cell_angle_beta 90.00
_cell_angle_gamma 90.00
_space_group_name_H-M_alt 'F -4 3 m'
_space_group_IT_number 216
_space_group_name_Hall 'F -4 2 3'
loop_
_atom_site_label
_atom_site_type_symbol
_atom_site_fract_x
_atom_site_fract_y
_atom_site_fract_z
Ti1 Ti 0.000 0.000 0.000
Ti2 Ti 0.250 0.250 0.250
Mn1 Mn 0.000 0.000 0.500
In1 In 0.250 0.250 0.750
```

## Properties
N(E_F)	0.7	states/eV/f.u.
energy	-7.00	eV per atom

---

[5]
The following is a PBE-GGA calculation of an optimized crystal structure of Ti2MnIn, from Alexandria.

Geometry as CIF:
```
data_Ti2MnIn
_chemical_formula_sum 'Ti2 Mn1 In1'
_cell_length_a 3.058
_cell_length_b 3.058
_cell_length_c 6.929
_cell_angle_alpha 90.00
_cell_angle_beta 90.00
_cell_angle_gamma 90.00
_space_group_name_H-M_alt 'P 4/m m m'
_space_group_IT_number 123
_space_group_name_Hall '-P 4 2'
loop_
_atom_site_label
_atom_site_type_symbol
_atom_site_fract_x
_atom_site_fract_y
_atom_site_fract_z
Ti1 Ti 0.000 0.000 0.202
Mn1 Mn 0.500 0.500 0.000
In1 In 0.500 0.500 0.500
```

## Properties
N(E_F)	2.4	states/eV/f.u.
energy	-7.15	eV per atom

---

[6]
The following is a PBE-GGA calculation of an optimized crystal structure of TiMnIn2, from Alexandria.

Geometry as CIF:
```
data_TiMnIn2
_chemical_formula_sum 'Ti4 Mn4 In8'
_cell_length_a 7.557
_cell_length_b 7.557
_cell_length_c 5.764
_cell_angle_alpha 90.00
_cell_angle_beta 90.00
_cell_angle_gamma 90.00
_space_group_name_H-M_alt 'I -4 2 d'
_space_group_IT_number 122
_space_group_name_Hall 'I -4 2bw'
loop_
_atom_site_label
_atom_site_type_symbol
_atom_site_fract_x
_atom_site_fract_y
_atom_site_fract_z
Ti1 Ti 0.000 0.000 0.000
Mn1 Mn 0.000 0.000 0.500
In1 In 0.233 0.250 0.625
```

## Properties
N(E_F)	3.5	states/eV/f.u.
distance to the lowest polymorph of the same formula	8.166	kcal/mol of atoms

---

[7]
The following is a PBE-GGA calculation of an optimized crystal structure of Ti2MnIn, from Alexandria.

Geometry as CIF:
```
data_Ti2MnIn
_chemical_formula_sum 'Ti2 Mn1 In1'
_cell_length_a 4.385
_cell_length_b 4.385
_cell_length_c 3.354
_cell_angle_alpha 90.00
_cell_angle_beta 90.00
_cell_angle_gamma 90.00
_space_group_name_H-M_alt 'P 4/m m m'
_space_group_IT_number 123
_space_group_name_Hall '-P 4 2'
loop_
_atom_site_label
_atom_site_type_symbol
_atom_site_fract_x
_atom_site_fract_y
_atom_site_fract_z
Ti1 Ti 0.000 0.500 0.000
Mn1 Mn 0.000 0.000 0.500
In1 In 0.500 0.500 0.500
```

## Properties
N(E_F)	1.4	states/eV/f.u.
energy	-6.95	eV per atom

---

[8]
The following is a PBE-GGA calculation of an optimized crystal structure of TiMnIn2, from Alexandria.

Geometry as CIF:
```
data_TiMnIn2
_chemical_formula_sum 'Ti4 Mn4 In8'
_cell_length_a 6.504
_cell_length_b 6.504
_cell_length_c 6.504
_cell_angle_alpha 90.00
_cell_angle_beta 90.00
_cell_angle_gamma 90.00
_space_group_name_H-M_alt 'F m -3 m'
_space_group_IT_number 225
_space_group_name_Hall '-F 4 2 3'
loop_
_atom_site_label
_atom_site_type_symbol
_atom_site_fract_x
_atom_site_fract_y
_atom_site_fract_z
Ti1 Ti 0.000 0.000 0.000
Mn1 Mn 0.000 0.000 0.500
In1 In 0.250 0.250 0.250
```

## Properties
N(E_F)	3.1	states/eV/f.u.
distance to the lowest polymorph of the same formula	6.001	kcal/mol of atoms

---

[9]
The following is a PBE-GGA calculation of an optimized crystal structure of TiMn3In, from Alexandria.

Geometry as CIF:
```
data_TiMn3In
_chemical_formula_sum 'Ti1 Mn3 In1'
_cell_length_a 4.903
_cell_length_b 4.903
_cell_length_c 4.903
_cell_angle_alpha 90.00
_cell_angle_beta 90.00
_cell_angle_gamma 90.00
_space_group_name_H-M_alt 'P m -3 m'
_space_group_IT_number 221
_space_group_name_Hall '-P 4 2 3'
loop_
_atom_site_label
_atom_site_type_symbol
_atom_site_fract_x
_atom_site_fract_y
_atom_site_fract_z
Ti1 Ti 0.000 0.000 0.000
Mn1 Mn 0.000 0.500 0.500
In1 In 0.500 0.500 0.500
```

## Properties
N(E_F)	9.4	states/eV/f.u.
distance to the lowest polymorph of the same formula	10.264	kcal/mol of atoms

---

[10]
The following is a PBE-GGA calculation of an optimized crystal structure of Ti2MnIn, from Alexandria.

Geometry as CIF:
```
data_Ti2MnIn
_chemical_formula_sum 'Ti8 Mn4 In4'
_cell_length_a 3.877
_cell_length_b 3.877
_cell_length_c 19.682
_cell_angle_alpha 90.00
_cell_angle_beta 90.00
_cell_angle_gamma 90.00
_space_group_name_H-M_alt 'I -4 2 d'
_space_group_IT_number 122
_space_group_name_Hall 'I -4 2bw'
loop_
_atom_site_label
_atom_site_type_symbol
_atom_site_fract_x
_atom_site_fract_y
_atom_site_fract_z
Ti1 Ti 0.239 0.250 0.125
Mn1 Mn 0.000 0.000 0.000
In1 In 0.000 0.000 0.500
```

## Properties
N(E_F)	4.8	states/eV/f.u.
energy	-6.48	eV per atom

---

[11]
The following is a PBE-GGA calculation of an optimized crystal structure of Ti2Mn2In, from Alexandria.

Geometry as CIF:
```
data_Ti2Mn2In
_chemical_formula_sum 'Ti4 Mn4 In2'
_cell_length_a 7.073
_cell_length_b 7.073
_cell_length_c 3.215
_cell_angle_alpha 90.00
_cell_angle_beta 90.00
_cell_angle_gamma 90.00
_space_group_name_H-M_alt 'P 4/m b m'
_space_group_IT_number 127
_space_group_name_Hall '-P 4 2ab'
loop_
_atom_site_label
_atom_site_type_symbol
_atom_site_fract_x
_atom_site_fract_y
_atom_site_fract_z
Ti1 Ti 0.166 0.334 0.000
Mn1 Mn 0.126 0.626 0.500
In1 In 0.000 0.000 0.500
```

## Properties
N(E_F)	3.3	states/eV/f.u.
energy	-7.42	eV per atom

---

[12]
The following is a PBE-GGA calculation of an optimized crystal structure of Ti3Mn2In, from Alexandria.

Geometry as CIF:
```
data_Ti3Mn2In
_chemical_formula_sum 'Ti3 Mn2 In1'
_cell_length_a 3.064
_cell_length_b 3.064
_cell_length_c 9.719
_cell_angle_alpha 90.00
_cell_angle_beta 90.00
_cell_angle_gamma 90.00
_space_group_name_H-M_alt 'P 4/m m m'
_space_group_IT_number 123
_space_group_name_Hall '-P 4 2'
loop_
_atom_site_label
_atom_site_type_symbol
_atom_site_fract_x
_atom_site_fract_y
_atom_site_fract_z
Ti1 Ti 0.000 0.000 0.000
Ti2 Ti 0.000 0.000 0.291
Mn1 Mn 0.500 0.500 0.157
In1 In 0.500 0.500 0.500
```

## Properties
N(E_F)	3.1	states/eV/f.u.
energy	-7.70	eV per atom

---

[13]
The following is a PBE-GGA calculation of an optimized crystal structure of TiMn3In, from Alexandria.

Geometry as CIF:
```
data_TiMn3In
_chemical_formula_sum 'Ti1 Mn3 In1'
_cell_length_a 4.527
_cell_length_b 4.527
_cell_length_c 4.527
_cell_angle_alpha 90.00
_cell_angle_beta 90.00
_cell_angle_gamma 90.00
_space_group_name_H-M_alt 'P m -3 m'
_space_group_IT_number 221
_space_group_name_Hall '-P 4 2 3'
loop_
_atom_site_label
_atom_site_type_symbol
_atom_site_fract_x
_atom_site_fract_y
_atom_site_fract_z
Ti1 Ti 0.000 0.000 0.000
Mn1 Mn 0.000 0.000 0.500
In1 In 0.500 0.500 0.500
```

## Properties
N(E_F)	3.6	states/eV/f.u.
distance to the lowest polymorph of the same formula	0.000	kcal/mol of atoms

---

[14]
The following is a PBE-GGA calculation of an optimized crystal structure of Ti6MnIn2, from Alexandria.

Geometry as CIF:
```
data_Ti6MnIn2
_chemical_formula_sum 'Ti12 Mn2 In4'
_cell_length_a 5.857
_cell_length_b 11.952
_cell_length_c 4.664
_cell_angle_alpha 90.00
_cell_angle_beta 90.00
_cell_angle_gamma 90.00
_space_group_name_H-M_alt 'C m m m'
_space_group_IT_number 65
_space_group_name_Hall '-C 2 2'
loop_
_atom_site_label
_atom_site_type_symbol
_atom_site_fract_x
_atom_site_fract_y
_atom_site_fract_z
Ti1 Ti 0.240 0.135 0.000
Ti2 Ti 0.244 0.000 0.500
Mn1 Mn 0.000 0.500 0.000
In1 In 0.000 0.243 0.500
```

## Properties
N(E_F)	10.9	states/eV/f.u.
energy	-6.79	eV per atom

---

[15]
The following is a PBE-GGA calculation of an optimized crystal structure of Ti5Mn2ZnIn2, from Alexandria.

Geometry as CIF:
```
data_Ti5Mn2ZnIn2
_chemical_formula_sum 'Ti10 Mn4 Zn2 In4'
_cell_length_a 10.410
_cell_length_b 10.410
_cell_length_c 3.090
_cell_angle_alpha 90.00
_cell_angle_beta 90.00
_cell_angle_gamma 90.00
_space_group_name_H-M_alt 'P 4/m b m'
_space_group_IT_number 127
_space_group_name_Hall '-P 4 2ab'
loop_
_atom_site_label
_atom_site_type_symbol
_atom_site_fract_x
_atom_site_fract_y
_atom_site_fract_z
Ti1 Ti 0.000 0.500 0.000
Ti2 Ti 0.071 0.206 0.000
Mn1 Mn 0.129 0.371 0.500
Zn1 Zn 0.000 0.000 0.500
In1 In 0.173 0.673 0.500
```

## Properties
N(E_F)	12.3	states/eV/f.u.
energy	-6.56	eV per atom

---

[16]
The following is a PBE-GGA calculation of an optimized crystal structure of MnTl2In, from Alexandria.

Geometry as CIF:
```
data_MnTl2In
_chemical_formula_sum 'Mn1 Tl2 In1'
_cell_length_a 3.350
_cell_length_b 4.252
_cell_length_c 7.391
_cell_angle_alpha 90.00
_cell_angle_beta 102.13
_cell_angle_gamma 90.00
_space_group_name_H-M_alt 'P 1 m 1'
_space_group_IT_number 6
_space_group_name_Hall 'P -2y'
loop_
_atom_site_label
_atom_site_type_symbol
_atom_site_fract_x
_atom_site_fract_y
_atom_site_fract_z
Mn1 Mn 0.000 0.000 0.000
Tl1 Tl 0.155 0.500 0.297
Tl2 Tl 0.790 0.000 0.580
In1 In 0.448 0.500 0.887
```

## Properties
N(E_F)	2.8	states/eV/f.u.
distance to the lowest polymorph of the same formula	1.663	kcal/mol of atoms

---

[17]
The following is a PBE-GGA calculation of an optimized crystal structure of MnTl2In, from Alexandria.

Geometry as CIF:
```
data_MnTl2In
_chemical_formula_sum 'Mn2 Tl4 In2'
_cell_length_a 4.644
_cell_length_b 4.701
_cell_length_c 9.121
_cell_angle_alpha 90.00
_cell_angle_beta 90.00
_cell_angle_gamma 90.00
_space_group_name_H-M_alt 'C m m m'
_space_group_IT_number 65
_space_group_name_Hall '-C 2 2'
loop_
_atom_site_label
_atom_site_type_symbol
_atom_site_fract_x
_atom_site_fract_y
_atom_site_fract_z
Mn1 Mn 0.000 0.000 0.000
Tl1 Tl 0.000 0.500 0.209
In1 In 0.000 0.000 0.500
```

## Properties
N(E_F)	2.4	states/eV/f.u.
distance to the lowest polymorph of the same formula	1.973	kcal/mol of atoms

---

[18]
The following is a PBE-GGA calculation of an optimized crystal structure of MnTl2In, from Alexandria.

Geometry as CIF:
```
data_MnTl2In
_chemical_formula_sum 'Mn3 Tl6 In3'
_cell_length_a 3.3829
_cell_length_b 3.3829
_cell_length_c 29.8896
_cell_angle_alpha 90.00
_cell_angle_beta 90.00
_cell_angle_gamma 120.00
_space_group_name_H-M_alt 'R -3 m'
_space_group_IT_number 166
_space_group_name_Hall '-R 3 2"'
loop_
_atom_site_label
_atom_site_type_symbol
_atom_site_fract_x
_atom_site_fract_y
_atom_site_fract_z
Mn1 Mn 0.0000 0.0000 0.0000
Tl1 Tl 0.0000 0.0000 0.2583
In1 In 0.0000 0.0000 0.5000
```

## Properties
N(E_F)	2.3	states/eV/f.u.
distance to the lowest polymorph of the same formula	2.175	kcal/mol of atoms

---

[19]
The following is a PBE-GGA calculation of an optimized crystal structure of MnTlIn2, from Alexandria.

Geometry as CIF:
```
data_MnTlIn2
_chemical_formula_sum 'Mn4 Tl4 In8'
_cell_length_a 7.351
_cell_length_b 7.351
_cell_length_c 7.351
_cell_angle_alpha 90.00
_cell_angle_beta 90.00
_cell_angle_gamma 90.00
_space_group_name_H-M_alt 'F -4 3 m'
_space_group_IT_number 216
_space_group_name_Hall 'F -4 2 3'
loop_
_atom_site_label
_atom_site_type_symbol
_atom_site_fract_x
_atom_site_fract_y
_atom_site_fract_z
Mn1 Mn 0.000 0.000 0.000
Tl1 Tl 0.250 0.250 0.750
In1 In 0.000 0.000 0.500
In2 In 0.250 0.250 0.250
```

## Properties
N(E_F)	3.7	states/eV/f.u.
distance to the lowest polymorph of the same formula	5.202	kcal/mol of atoms

---

[20]
The following is a PBE-GGA calculation of an optimized crystal structure of MnTlIn, from Alexandria.

Geometry as CIF:
```
data_MnTlIn
_chemical_formula_sum 'Mn4 Tl4 In4'
_cell_length_a 6.617
_cell_length_b 6.617
_cell_length_c 6.617
_cell_angle_alpha 90.00
_cell_angle_beta 90.00
_cell_angle_gamma 90.00
_space_group_name_H-M_alt 'F -4 3 m'
_space_group_IT_number 216
_space_group_name_Hall 'F -4 2 3'
loop_
_atom_site_label
_atom_site_type_symbol
_atom_site_fract_x
_atom_site_fract_y
_atom_site_fract_z
Mn1 Mn 0.000 0.000 0.000
Tl1 Tl 0.250 0.250 0.750
In1 In 0.250 0.250 0.250
```

## Properties
N(E_F)	1.0	states/eV/f.u.
distance to the lowest polymorph of the same formula	0.000	kcal/mol of atoms